A crystal of Cs4FeO4 relaxed with PBEsol, computed with meta-GGA SCAN.

Uncorrected formation energy in eV per atom: -1.5690
Space-group type: P2_1/c, No. 14
E in eV/atom: -23.158
Total magnetization in μB/f.u.: 4.0

Cell: 6.840 10.755 11.462 Å, 99.38 90.00 90.00°
Last column: magnetic moment on the atom in μB.
Positions (direct):
1 Cs 0.382 0.162 0.007  0.01
2 Cs 0.882 0.838 0.493  0.01
3 Cs 0.618 0.838 0.993  0.01
4 Cs 0.118 0.162 0.507  0.01
5 Cs 0.580 0.063 0.328  0.00
6 Cs 0.080 0.937 0.172  0.00
7 Cs 0.420 0.937 0.672  0.00
8 Cs 0.920 0.063 0.828  0.00
9 Cs 0.788 0.608 0.215  0.00
10 Cs 0.288 0.392 0.285  0.00
11 Cs 0.212 0.392 0.785  0.00
12 Cs 0.712 0.608 0.715  0.00
13 Cs 0.762 0.406 0.431  0.00
14 Cs 0.262 0.594 0.069  0.00
15 Cs 0.238 0.594 0.569  0.00
16 Cs 0.738 0.406 0.931  0.00
17 Fe 0.867 0.241 0.147  3.08
18 Fe 0.367 0.759 0.353  3.08
19 Fe 0.133 0.759 0.853  3.08
20 Fe 0.633 0.241 0.647  3.08
21 O 0.650 0.336 0.163  0.15
22 O 0.150 0.664 0.337  0.15
23 O 0.350 0.664 0.837  0.15
24 O 0.850 0.336 0.663  0.15
25 O 0.772 0.092 0.081  0.17
26 O 0.272 0.908 0.419  0.17
27 O 0.228 0.908 0.919  0.17
28 O 0.728 0.092 0.581  0.17
29 O 0.002 0.198 0.269  0.17
30 O 0.502 0.802 0.231  0.17
31 O 0.998 0.802 0.731  0.17
32 O 0.498 0.198 0.769  0.17
33 O 0.464 0.340 0.582  0.17
34 O 0.964 0.660 0.918  0.17
35 O 0.536 0.660 0.418  0.17
36 O 0.036 0.340 0.082  0.17